Record 1
K2YCr: optimized geometry, PBE.

Values from the calculation:
The calculated formation energy comes out at 926 meV/atom. As for the energy relative to the lowest polymorph listed for this composition: 355 meV/atom. Its total moment is 4.3 μB/cell.

CIF file:
```
data_K2YCr
_cell_length_a 3.486
_cell_length_b 6.410
_cell_length_c 6.827
_cell_angle_alpha 90.00
_cell_angle_beta 90.00
_cell_angle_gamma 90.00
_symmetry_space_group_name_H-M 'P m m m'
_symmetry_Int_Tables_number 47
loop_
_symmetry_equiv_pos_as_xyz
'x,y,z'
'-x,-y,-z'
'-x,-y,z'
'x,y,-z'
'x,-y,-z'
'-x,y,z'
'-x,y,-z'
'x,-y,z'
loop_
_atom_site_label
_atom_site_type_symbol
_atom_site_fract_x
_atom_site_fract_y
_atom_site_fract_z
K1 K 0.000 0.000 0.239
Y1 Y 0.500 0.500 0.500
Cr1 Cr 0.500 0.500 0.000
```

---

Record 2
TlOs2Se: optimized geometry, PBE.

Values from the calculation:
As for the formation energy without anion corrections: 0.47 eV/atom. As for the energy relative to the lowest polymorph listed for this composition: 0 meV/atom. Its total moment is 0.0 μB/cell.

CIF file:
```
data_TlOs2Se
_cell_length_a 2.816
_cell_length_b 3.511
_cell_length_c 8.163
_cell_angle_alpha 90.00
_cell_angle_beta 90.07
_cell_angle_gamma 90.00
_symmetry_space_group_name_H-M 'P 1 m 1'
_symmetry_Int_Tables_number 6
loop_
_symmetry_equiv_pos_as_xyz
'x,y,z'
'x,-y,z'
loop_
_atom_site_label
_atom_site_type_symbol
_atom_site_fract_x
_atom_site_fract_y
_atom_site_fract_z
Tl1 Tl 0.000 0.000 0.000
Os1 Os 0.496 0.500 0.728
Os2 Os 0.996 0.000 0.576
Se1 Se 0.993 0.500 0.342
```

---

Record 3
Th2Ge6Pd21: optimized geometry, PBE.

Values from the calculation:
The calculated formation energy comes out at -593 meV/atom. Its total moment is 0.0 μB/cell.

CIF file:
```
data_Th2Ge6Pd21
_cell_length_a 12.492
_cell_length_b 12.492
_cell_length_c 12.492
_cell_angle_alpha 90.00
_cell_angle_beta 90.00
_cell_angle_gamma 90.00
_symmetry_space_group_name_H-M 'F m -3 m'
_symmetry_Int_Tables_number 225
_symmetry_space_group_name_Hall '-F 4 2 3'
loop_
_atom_site_label
_atom_site_type_symbol
_atom_site_fract_x
_atom_site_fract_y
_atom_site_fract_z
Th1 Th 0.250 0.250 0.250
Ge1 Ge 0.000 0.000 0.236
Pd1 Pd 0.000 0.000 0.500
Pd2 Pd 0.000 0.174 0.326
Pd3 Pd 0.118 0.118 0.118
```

---

Record 4
SiC2Cl: optimized geometry, PBE.

Values from the calculation:
As for the formation energy without anion corrections: 2.77 eV/atom. As for the energy relative to the lowest polymorph listed for this composition: 1233 meV/atom. Its total moment is 0.0 μB/cell.

CIF file:
```
data_SiC2Cl
_cell_length_a 5.682
_cell_length_b 5.682
_cell_length_c 5.682
_cell_angle_alpha 90.00
_cell_angle_beta 90.00
_cell_angle_gamma 90.00
_symmetry_space_group_name_H-M 'F m -3 m'
_symmetry_Int_Tables_number 225
_symmetry_space_group_name_Hall '-F 4 2 3'
loop_
_atom_site_label
_atom_site_type_symbol
_atom_site_fract_x
_atom_site_fract_y
_atom_site_fract_z
Si1 Si 0.000 0.000 0.000
C1 C 0.250 0.250 0.250
Cl1 Cl 0.000 0.000 0.500
```

---

Record 5
NdGeAu: optimized geometry, PBE.

Values from the calculation:
The calculated formation energy comes out at -587 meV/atom. Its total moment is 0.0 μB/cell.

CIF file:
```
data_NdGeAu
_cell_length_a 4.608
_cell_length_b 5.931
_cell_length_c 5.853
_cell_angle_alpha 90.00
_cell_angle_beta 113.07
_cell_angle_gamma 90.00
_symmetry_space_group_name_H-M 'P 1 21/m 1'
_symmetry_Int_Tables_number 11
loop_
_symmetry_equiv_pos_as_xyz
'x,y,z'
'-x,-y,-z'
'-x,y+1/2,-z'
'x,-y+1/2,z'
loop_
_atom_site_label
_atom_site_type_symbol
_atom_site_fract_x
_atom_site_fract_y
_atom_site_fract_z
Nd1 Nd 0.137 0.250 0.272
Ge1 Ge 0.167 0.750 0.336
Au1 Au 0.432 0.250 0.863
```

---

Record 6
NaIn2ReOs: optimized geometry, PBE.

Values from the calculation:
The calculated formation energy comes out at 2436 meV/atom. Its total moment is 3.3 μB/cell.

CIF file:
```
data_NaIn2ReOs
_cell_length_a 4.749
_cell_length_b 4.749
_cell_length_c 4.760
_cell_angle_alpha 90.00
_cell_angle_beta 90.00
_cell_angle_gamma 90.00
_symmetry_space_group_name_H-M 'P 4/m m m'
_symmetry_Int_Tables_number 123
_symmetry_space_group_name_Hall '-P 4 2'
loop_
_atom_site_label
_atom_site_type_symbol
_atom_site_fract_x
_atom_site_fract_y
_atom_site_fract_z
Na1 Na 0.000 0.000 0.000
In1 In 0.000 0.500 0.000
Re1 Re 0.000 0.000 0.500
Os1 Os 0.500 0.500 0.500
```

---

Record 7
BaDySb2Au2: optimized geometry, PBE.

Values from the calculation:
As for the formation energy without anion corrections: -0.84 eV/atom. Its total moment is 0.0 μB/cell.

CIF file:
```
data_BaDySb2Au2
_cell_length_a 4.7410
_cell_length_b 4.7410
_cell_length_c 8.6563
_cell_angle_alpha 90.00
_cell_angle_beta 90.00
_cell_angle_gamma 120.00
_symmetry_space_group_name_H-M 'P -3 m 1'
_symmetry_Int_Tables_number 164
_symmetry_space_group_name_Hall '-P 3 2"'
loop_
_atom_site_label
_atom_site_type_symbol
_atom_site_fract_x
_atom_site_fract_y
_atom_site_fract_z
Ba1 Ba 0.0000 0.0000 0.0000
Dy1 Dy 0.0000 0.0000 0.5000
Sb1 Sb 0.3333 0.6667 0.7341
Au1 Au 0.3333 0.6667 0.3222
```

---

Record 8
SmScBe2: optimized geometry, PBE.

Values from the calculation:
The calculated formation energy comes out at 100 meV/atom. As for the energy relative to the lowest polymorph listed for this composition: 30 meV/atom. Its total moment is 0.0 μB/cell.

CIF file:
```
data_SmScBe2
_cell_length_a 6.681
_cell_length_b 6.681
_cell_length_c 6.681
_cell_angle_alpha 90.00
_cell_angle_beta 90.00
_cell_angle_gamma 90.00
_symmetry_space_group_name_H-M 'F m -3 m'
_symmetry_Int_Tables_number 225
_symmetry_space_group_name_Hall '-F 4 2 3'
loop_
_atom_site_label
_atom_site_type_symbol
_atom_site_fract_x
_atom_site_fract_y
_atom_site_fract_z
Sm1 Sm 0.000 0.000 0.000
Sc1 Sc 0.000 0.000 0.500
Be1 Be 0.250 0.250 0.250
```

---

Record 9
ZrMnZn2Sn: optimized geometry, PBE.

Values from the calculation:
The calculated formation energy comes out at 339 meV/atom. Its total moment is 1.7 μB/cell.

CIF file:
```
data_ZrMnZn2Sn
_cell_length_a 4.752
_cell_length_b 4.752
_cell_length_c 4.682
_cell_angle_alpha 90.00
_cell_angle_beta 90.00
_cell_angle_gamma 90.00
_symmetry_space_group_name_H-M 'P 4/m m m'
_symmetry_Int_Tables_number 123
_symmetry_space_group_name_Hall '-P 4 2'
loop_
_atom_site_label
_atom_site_type_symbol
_atom_site_fract_x
_atom_site_fract_y
_atom_site_fract_z
Zr1 Zr 0.000 0.000 0.000
Mn1 Mn 0.000 0.000 0.500
Zn1 Zn 0.000 0.500 0.500
Sn1 Sn 0.500 0.500 0.000
```

---

Q: total moment of number 1 (K2YCr)?
A: 4.3 μB/cell